Entry from Alexandria via LeMat-Bulk: a crystal of BeFeHg2 relaxed with PBEsol (SCAN).

Its crystal system is tetragonal. The calculated formation energy comes out at 0.309 eV/atom. The electronic total energy comes out at -2.895 Ry per atom.

The structure belongs to space group P4mm (No. 99); the cell edges are 2.962, 2.962 and 6.917 Å and the angles 90.00°, 90.00° and 90.00°. The inequivalent atoms are Be at (0.000, 0.000, 0.000), Fe at (0.500, 0.500, 0.120), Hg at (0.000, 0.000, 0.386) and Hg at (0.500, 0.500, 0.730).